Crystalline Dy3Pd at its relaxed geometry. Source: Alexandria, functional PBE-GGA.

extended XYZ file:
```
4
Lattice="-1.843 5.428 2.666 1.843 -5.428 2.666 1.843 5.428 -2.666" Properties=species:S:1:pos:R:3 pbc="T T T"
Dy 0.000 0.000 5.332
Dy 1.843 3.205 0.000
Dy 0.000 2.223 2.666
Pd 1.843 0.000 2.661
```

As for the volume: 106.7 Å³/f.u. Its formation energy from the elements is -0.41 eV/atom. The density of states at the Fermi level is 4.437 states/eV/cell. Its total DFT energy (no corrections) is -20.64 eV per cell.